[1]
Dy4MnS7: relaxed, PBEsol.

Cell lengths 6.451, 6.451, 11.235 Å; angles 104.55, 104.55, 33.85 degrees
Fractional coordinates of all 12 atoms:
Dy 0.000 0.000 0.000
Dy 0.385 0.385 0.593
Dy 0.587 0.587 0.365
Dy 0.694 0.694 0.808
Mn 0.817 0.817 0.224
S 0.033 0.033 0.747
S 0.219 0.219 0.312
S 0.356 0.356 0.849
S 0.428 0.428 0.150
S 0.663 0.663 0.032
S 0.731 0.731 0.587
S 0.958 0.958 0.439

Output
Formation energy (no corrections): -1820.9 meV/atom
Crystal system: monoclinic
Total DFT energy (no corrections): -6.851 eV per atom

[2]
SnHOF2: relaxed, PBEsol.

Cell lengths 3.272, 3.272, 4.151 Å; angles 90.00, 90.00, 90.00 degrees
Fractional coordinates of all 5 atoms:
Sn 0.000 0.000 0.000
H 0.500 0.500 0.500
O 0.500 0.500 0.000
F 0.000 0.500 0.500
F 0.500 0.000 0.500

Output
Crystal system: tetragonal
Total DFT energy (no corrections): -4.369 eV per atom

[3]
BaZnSiMo2: relaxed, PBEsol.

Cell lengths 5.032, 5.032, 5.297 Å; angles 90.00, 90.00, 90.00 degrees
Fractional coordinates of all 5 atoms:
Ba 0.000 0.000 0.000
Zn 0.500 0.500 0.500
Si 0.000 0.000 0.500
Mo 0.000 0.500 0.000
Mo 0.500 0.000 0.000

Output
Formation energy (no corrections): 2934.0 meV/atom
Crystal system: tetragonal
Total DFT energy (no corrections): -3.669 eV per atom

[4]
Zn2PCl: relaxed, PBEsol.

Cell lengths 4.628, 4.628, 3.002 Å; angles 90.00, 90.00, 90.00 degrees
Fractional coordinates of all 4 atoms:
Zn 0.000 0.500 0.000
Zn 0.500 0.000 0.000
P 0.000 0.000 0.500
Cl 0.500 0.500 0.500

Output
Formation energy (no corrections): 85.9 meV/atom
Crystal system: tetragonal
Polymorph energy (0 for the lowest one): 561 meV/atom
Total DFT energy (no corrections): -2.655 eV per atom

[5]
RbBi3Te: relaxed, PBEsol.

Cell lengths 5.930, 5.930, 5.930 Å; angles 90.00, 90.00, 90.00 degrees
Fractional coordinates of all 5 atoms:
Rb 0.000 0.000 0.000
Bi 0.000 0.500 0.500
Bi 0.500 0.000 0.500
Bi 0.500 0.500 0.000
Te 0.500 0.500 0.500

Output
Formation energy (no corrections): 304.0 meV/atom
Crystal system: cubic
Polymorph energy (0 for the lowest one): 0 meV/atom
Total DFT energy (no corrections): -3.178 eV per atom

[6]
Ce3Al: relaxed, PBEsol.

Cell lengths 4.568, 4.568, 4.568 Å; angles 90.00, 90.00, 90.00 degrees
Fractional coordinates of all 4 atoms:
Ce 0.000 0.000 0.500
Ce 0.000 0.500 0.000
Ce 0.500 0.000 0.000
Al 0.500 0.500 0.500

Output
Crystal system: cubic
Polymorph energy (0 for the lowest one): 16 meV/atom
Total DFT energy (no corrections): -6.079 eV per atom

[7]
YAlAu: relaxed, PBEsol.

Cell lengths 4.609, 4.609, 4.609 Å; angles 60.00, 60.00, 60.00 degrees
Fractional coordinates of all 3 atoms:
Y 0.000 0.000 0.000
Al 0.500 0.500 0.500
Au 0.750 0.750 0.750

Output
Crystal system: cubic
Total DFT energy (no corrections): -5.552 eV per atom

[8]
Hf3TiCu: relaxed, PBEsol.

Cell lengths 4.784, 4.784, 4.784 Å; angles 90.00, 90.00, 90.00 degrees
Fractional coordinates of all 5 atoms:
Hf 0.000 0.000 0.500
Hf 0.000 0.500 0.000
Hf 0.500 0.000 0.000
Ti 0.500 0.500 0.500
Cu 0.000 0.000 0.000

Output
Crystal system: cubic
Total DFT energy (no corrections): -8.113 eV per atom

[9]
LaTl2Au: relaxed, PBEsol.

Cell lengths 4.566, 4.566, 4.850 Å; angles 90.00, 90.00, 90.00 degrees
Fractional coordinates of all 4 atoms:
La 0.000 0.000 0.000
Tl 0.000 0.500 0.500
Tl 0.500 0.000 0.500
Au 0.500 0.500 0.000

Output
Crystal system: tetragonal
Polymorph energy (0 for the lowest one): 33 meV/atom
Total DFT energy (no corrections): -4.031 eV per atom

[10]
CaTi2Ir: relaxed, PBEsol.

Cell lengths 4.565, 4.565, 4.565 Å; angles 60.00, 60.00, 60.00 degrees
Fractional coordinates of all 4 atoms:
Ca 0.000 0.000 0.000
Ti 0.250 0.250 0.250
Ti 0.750 0.750 0.750
Ir 0.500 0.500 0.500

Output
Crystal system: cubic
Total DFT energy (no corrections): -7.198 eV per atom

[11]
CaZnPd: relaxed, PBEsol.

Cell lengths 7.012, 4.341, 7.643 Å; angles 90.00, 90.00, 90.00 degrees
Fractional coordinates of all 12 atoms:
Ca 0.011 0.250 0.193
Ca 0.489 0.750 0.693
Ca 0.511 0.250 0.307
Ca 0.989 0.750 0.807
Zn 0.168 0.250 0.579
Zn 0.332 0.750 0.079
Zn 0.668 0.250 0.921
Zn 0.832 0.750 0.421
Pd 0.206 0.750 0.399
Pd 0.294 0.250 0.899
Pd 0.706 0.750 0.101
Pd 0.794 0.250 0.601

Output
Crystal system: orthorhombic
Total DFT energy (no corrections): -3.826 eV per atom

[12]
NaCr3Cu: relaxed, PBEsol.

Cell lengths 4.744, 4.744, 4.744 Å; angles 90.00, 90.00, 90.00 degrees
Fractional coordinates of all 5 atoms:
Na 0.000 0.000 0.000
Cr 0.000 0.500 0.500
Cr 0.500 0.000 0.500
Cr 0.500 0.500 0.000
Cu 0.500 0.500 0.500

Output
Crystal system: cubic
Total DFT energy (no corrections): -5.847 eV per atom

[13]
SrZnAs2: relaxed, PBEsol.

Cell lengths 4.803, 4.803, 5.059 Å; angles 106.21, 106.21, 64.37 degrees
Fractional coordinates of all 4 atoms:
Sr 0.000 0.000 0.000
Zn 0.500 0.500 0.500
As 0.248 0.248 0.622
As 0.752 0.752 0.378

Output
Crystal system: monoclinic
Total DFT energy (no corrections): -3.827 eV per atom

[14]
Ti3RhCl: relaxed, PBEsol.

Cell lengths 4.736, 4.736, 4.736 Å; angles 90.00, 90.00, 90.00 degrees
Fractional coordinates of all 5 atoms:
Ti 0.000 0.000 0.500
Ti 0.000 0.500 0.000
Ti 0.500 0.000 0.000
Rh 0.000 0.000 0.000
Cl 0.500 0.500 0.500

Output
Formation energy (no corrections): 388.4 meV/atom
Crystal system: cubic
Total DFT energy (no corrections): -6.634 eV per atom

[15]
ScBe2Se: relaxed, PBEsol.

Cell lengths 3.708, 3.708, 4.044 Å; angles 90.00, 90.00, 90.00 degrees
Fractional coordinates of all 4 atoms:
Sc 0.000 0.000 0.000
Be 0.000 0.500 0.500
Be 0.500 0.000 0.500
Se 0.500 0.500 0.000

Output
Formation energy (no corrections): -126.5 meV/atom
Crystal system: tetragonal
Total DFT energy (no corrections): -4.740 eV per atom

[16]
BaO: relaxed, PBEsol.

Cell lengths 3.910, 3.910, 3.910 Å; angles 60.00, 60.00, 60.00 degrees
Fractional coordinates of all 2 atoms:
Ba 0.000 0.000 0.000
O 0.500 0.500 0.500

Output
Formation energy (no corrections): -2500.9 meV/atom
Crystal system: cubic
Total DFT energy (no corrections): -6.200 eV per atom

[17]
Sr2IrPt: relaxed, PBEsol.

Cell lengths 3.588, 3.588, 8.578 Å; angles 90.00, 90.00, 90.00 degrees
Fractional coordinates of all 4 atoms:
Sr 0.000 0.000 0.000
Sr 0.500 0.500 0.424
Ir 0.000 0.000 0.673
Pt 0.500 0.500 0.755

Output
Crystal system: tetragonal
Total DFT energy (no corrections): -5.117 eV per atom

[18]
NaH3Ir: relaxed, PBEsol.

Cell lengths 3.524, 3.524, 3.524 Å; angles 90.00, 90.00, 90.00 degrees
Fractional coordinates of all 5 atoms:
Na 0.000 0.000 0.000
H 0.000 0.500 0.500
H 0.500 0.000 0.500
H 0.500 0.500 0.000
Ir 0.500 0.500 0.500

Output
Crystal system: cubic
Total DFT energy (no corrections): -4.389 eV per atom

[19]
AgRh2Pb: relaxed, PBEsol.

Cell lengths 9.308, 9.308, 9.308 Å; angles 18.34, 18.34, 18.34 degrees
Fractional coordinates of all 4 atoms:
Ag 0.000 0.000 0.000
Rh 0.484 0.484 0.484
Rh 0.747 0.747 0.747
Pb 0.236 0.236 0.236

Output
Crystal system: trigonal
Total DFT energy (no corrections): -5.494 eV per atom

[20]
CoH2Rh2: relaxed, PBEsol.

Cell lengths 5.959, 5.959, 5.959 Å; angles 152.84, 152.84, 38.79 degrees
Fractional coordinates of all 5 atoms:
Co 0.000 0.000 0.000
H 0.250 0.750 0.500
H 0.750 0.250 0.500
Rh 0.356 0.356 0.000
Rh 0.644 0.644 0.000

Output
Crystal system: tetragonal
Total DFT energy (no corrections): -6.072 eV per atom

[21]
ScCuW2O8: relaxed, PBEsol.

Cell lengths 7.452, 7.452, 4.952 Å; angles 90.75, 90.75, 101.01 degrees
Fractional coordinates of all 24 atoms:
Sc 0.163 0.837 0.750
Sc 0.837 0.163 0.250
Cu 0.333 0.667 0.250
Cu 0.667 0.333 0.750
W 0.172 0.346 0.751
W 0.346 0.172 0.251
W 0.654 0.828 0.749
W 0.828 0.654 0.249
O 0.055 0.692 0.403
O 0.089 0.199 0.066
O 0.193 0.573 0.899
O 0.199 0.089 0.566
O 0.308 0.945 0.097
O 0.309 0.412 0.434
O 0.412 0.309 0.934
O 0.427 0.807 0.601
O 0.573 0.193 0.399
O 0.588 0.691 0.066
O 0.691 0.588 0.566
O 0.692 0.055 0.903
O 0.801 0.911 0.434
O 0.807 0.427 0.101
O 0.911 0.801 0.934
O 0.945 0.308 0.597

Output
Formation energy (no corrections): -2218.2 meV/atom
Crystal system: monoclinic
Total DFT energy (no corrections): -8.931 eV per atom

[22]
K2LiPb: relaxed, PBEsol.

Cell lengths 4.889, 4.889, 5.842 Å; angles 90.00, 90.00, 90.00 degrees
Fractional coordinates of all 4 atoms:
K 0.000 0.500 0.000
K 0.500 0.000 0.000
Li 0.000 0.000 0.500
Pb 0.500 0.500 0.500

Output
Crystal system: tetragonal
Total DFT energy (no corrections): -2.015 eV per atom

[23]
AlAg3: relaxed, PBEsol.

Cell lengths 18.085, 18.085, 18.085 Å; angles 9.17, 9.17, 9.17 degrees
Fractional coordinates of all 8 atoms:
Al 0.062 0.062 0.062
Al 0.938 0.938 0.938
Ag 0.188 0.188 0.188
Ag 0.311 0.311 0.311
Ag 0.435 0.435 0.435
Ag 0.565 0.565 0.565
Ag 0.689 0.689 0.689
Ag 0.812 0.812 0.812

Output
Crystal system: trigonal
Total DFT energy (no corrections): -3.553 eV per atom

[24]
Nd3AlNiS7: relaxed, PBEsol.

Cell lengths 9.662, 9.662, 6.183 Å; angles 90.00, 90.00, 120.00 degrees
Fractional coordinates of all 24 atoms:
Nd 0.163 0.787 0.000
Nd 0.213 0.376 0.000
Nd 0.376 0.163 0.500
Nd 0.624 0.837 0.000
Nd 0.787 0.624 0.500
Nd 0.837 0.213 0.500
Al 0.333 0.667 0.576
Al 0.667 0.333 0.076
Ni 0.000 0.000 0.173
Ni 0.000 0.000 0.673
S 0.087 0.526 0.719
S 0.099 0.874 0.413
S 0.126 0.226 0.413
S 0.226 0.099 0.913
S 0.333 0.667 0.217
S 0.439 0.913 0.719
S 0.474 0.561 0.719
S 0.526 0.439 0.219
S 0.561 0.087 0.219
S 0.667 0.333 0.717
S 0.774 0.901 0.413
S 0.874 0.774 0.913
S 0.901 0.126 0.913
S 0.913 0.474 0.219

Output
Formation energy (no corrections): -1594.7 meV/atom
Crystal system: hexagonal
Total DFT energy (no corrections): -6.298 eV per atom

[25]
GaSi3Os: relaxed, PBEsol.

Cell lengths 4.623, 4.623, 4.623 Å; angles 90.00, 90.00, 90.00 degrees
Fractional coordinates of all 5 atoms:
Ga 0.000 0.000 0.000
Si 0.000 0.500 0.500
Si 0.500 0.000 0.500
Si 0.500 0.500 0.000
Os 0.500 0.500 0.500

Output
Formation energy (no corrections): 494.1 meV/atom
Crystal system: cubic
Total DFT energy (no corrections): -6.065 eV per atom

[26]
Al7Cr: relaxed, PBEsol.

Cell lengths 5.586, 5.586, 5.586 Å; angles 60.00, 60.00, 60.00 degrees
Fractional coordinates of all 8 atoms:
Al 0.000 0.000 0.000
Al 0.000 0.000 0.500
Al 0.000 0.500 0.000
Al 0.000 0.500 0.500
Al 0.500 0.000 0.000
Al 0.500 0.000 0.500
Al 0.500 0.500 0.000
Cr 0.500 0.500 0.500

Output
Crystal system: cubic
Total DFT energy (no corrections): -4.855 eV per atom